Entry 1:
Here is an optimized crystal structure of TiHgH3 from Alexandria. Energies are from PBE.

Unit cell a=3.7517 b=3.7517 c=3.7517 alpha=90.00 beta=90.00 gamma=90.00
Sites, in units of the cell vectors:
Ti 0.0000 0.0000 0.0000
Hg 0.5000 0.5000 0.5000
H 0.0000 0.5000 0.5000
H 0.5000 0.0000 0.5000
H 0.5000 0.5000 0.0000

## Properties
crystal system = cubic
density of states at the Fermi level = 0.83 states/eV/atom
polymorph energy (0 for the lowest one) = 661 meV/atom

Entry 2:
Here is an optimized crystal structure of Cd2W from Alexandria. Energies are from PBE.

Unit cell a=8.6908 b=8.6908 c=2.7154 alpha=90.00 beta=90.00 gamma=120.00
Sites, in units of the cell vectors:
Cd 0.0000 0.2936 0.0000
Cd 0.0000 0.6132 0.5000
Cd 0.2936 0.0000 0.0000
Cd 0.3868 0.3868 0.5000
Cd 0.6132 0.0000 0.5000
Cd 0.7064 0.7064 0.0000
W 0.0000 0.0000 0.5000
W 0.3333 0.6667 0.0000
W 0.6667 0.3333 0.0000

## Properties
crystal system = hexagonal
density of states at the Fermi level = 1.03 states/eV/atom
polymorph energy (0 for the lowest one) = 410 meV/atom
calculated formation energy = 2.6 eV/f.u.

Entry 3:
Here is an optimized crystal structure of PmNd6Tm8 from Alexandria. Energies are from PBE.

Unit cell a=8.7060 b=8.7060 c=8.7060 alpha=62.55 beta=62.55 gamma=62.55
Sites, in units of the cell vectors:
Pm 0.0000 0.0000 0.0000
Nd 0.1026 0.5370 0.2266
Nd 0.2266 0.1026 0.5370
Nd 0.4630 0.7734 0.8974
Nd 0.5370 0.2266 0.1026
Nd 0.7734 0.8974 0.4630
Nd 0.8974 0.4630 0.7734
Tm 0.1123 0.7141 0.7501
Tm 0.2499 0.8877 0.2859
Tm 0.2859 0.2499 0.8877
Tm 0.4235 0.4235 0.4235
Tm 0.5765 0.5765 0.5765
Tm 0.7141 0.7501 0.1123
Tm 0.7501 0.1123 0.7141
Tm 0.8877 0.2859 0.2499

## Properties
crystal system = trigonal
density of states at the Fermi level = 1.44 states/eV/atom
calculated formation energy = 1.9 eV/f.u.